[1]
First-principles (PBE) data for a geometry-optimized BeCoH4 structure, as listed in the Alexandria database.

Geometry as extended XYZ:
```
12
Lattice="4.233 0.000 0.000 0.000 4.230 1.082 0.000 1.288 4.887" Properties=species:S:1:pos:R:3 pbc="T T T"
H 1.071 3.745 3.260
H 1.071 1.772 2.709
H 3.126 3.154 0.895
Be 0.000 0.644 2.443
H 1.107 3.154 0.895
H 3.162 1.772 2.709
Co 0.000 2.115 0.541
Be 0.000 0.000 0.000
H 1.107 2.364 5.074
H 3.162 3.745 3.260
H 3.126 2.364 5.074
Co 2.117 0.644 2.443
```

Computed properties:
Energy ... -3.820 eV per atom
Magnetic moment ... 1.00 μB/f.u.
Space-group type ... P2/m


[2]
First-principles (PBE) data for a geometry-optimized CaNb structure, as listed in the Alexandria database.

Geometry as extended XYZ:
```
12
Lattice="-7.028 -1.431 5.531 -2.899 -6.663 -5.406 4.924 -5.965 4.712" Properties=species:S:1:pos:R:3 pbc="T T T"
Ca -2.283 -2.207 3.944
Ca 0.179 -5.189 6.300
Nb -0.218 -4.823 -1.525
Nb -2.809 -4.056 6.505
Ca -3.206 -3.689 -1.320
Ca -6.720 -4.405 1.445
Ca 0.288 -7.980 -1.699
Nb -4.238 -2.381 1.414
Nb -5.688 -5.713 -1.289
Nb 0.705 -3.340 3.739
Ca 1.737 -4.648 1.005
Nb 2.243 -7.806 0.831
```

Computed properties:
Energy ... -3.468 eV per atom
Energy of formation ... 2.57 eV/atom
Magnetic moment ... 5.27 μB/f.u.
Space-group type ... Pm-3n


Number 1 is which compound?
BeCoH4


What is the energy in the second record?
-3.468 eV per atom